Entry from Alexandria: crystalline Np2UCoS5 at its relaxed geometry (GGA-PBE).

## Properties
Crystal system ... orthorhombic
Total magnetization ... 5.57 μB per cell
Total DFT energy (no corrections) ... -8.433 eV per atom

Cell and atoms, written as CIF:
```
data_Np2UCoS5
_symmetry_space_group_name_H-M 'C m c 21'
_symmetry_Int_Tables_number 36
_cell_length_a 3.6662
_cell_length_b 16.0730
_cell_length_c 11.7968
_cell_angle_alpha 90.00
_cell_angle_beta 90.00
_cell_angle_gamma 90.00
loop_
_symmetry_equiv_pos_as_xyz
'x,y,z'
'-x,-y,z+1/2'
'-x,y,z'
'x,-y,z+1/2'
'x+1/2,y+1/2,z'
'-x+1/2,-y+1/2,z+1/2'
'-x+1/2,y+1/2,z'
'x+1/2,-y+1/2,z+1/2'
loop_
_atom_site_label
_atom_site_fract_x
_atom_site_fract_y
_atom_site_fract_z
Np1 0.0000 0.1110 0.0000
Np2 0.0000 0.1183 0.3467
U1 0.0000 0.1794 0.6726
Co1 0.0000 0.4455 0.0630
S1 0.0000 0.0155 0.6566
S2 0.0000 0.3061 0.3402
S3 0.0000 0.3157 0.0046
S4 0.0000 0.3451 0.6695
S5 0.0000 0.4952 0.3971
```